## KVSbO4 (PBE+U)

Data for a relaxed structure of KVSbO4.

Lattice parameters (Å, degrees): 6.455 5.815 8.723 90.00 107.76 90.00
Element x y z (fractional)
K: 0.249 0.250 0.009
K: 0.751 0.750 0.991
V: 0.081 0.750 0.730
V: 0.919 0.250 0.270
Sb: 0.244 0.750 0.369
Sb: 0.756 0.250 0.631
O: 0.065 0.750 0.517
O: 0.090 0.001 0.229
O: 0.090 0.499 0.229
O: 0.320 0.750 0.879
O: 0.680 0.250 0.121
O: 0.910 0.501 0.771
O: 0.910 0.999 0.771
O: 0.935 0.250 0.483

Crystal system = monoclinic
Space-group type = P2_1/m
Density = 2.94 g cm⁻³
E_tot = -44.5 eV/f.u.